A geometry-optimized CaScMn2 structure, computed with GGA-PBE.

ΔE_f, meV per atom: 332.1
Space-group type: Imm2 (44)

abc: 5.9129 5.9129 5.9129
angles: 146.49 133.74 58.32
Site moments in Bohr magnetons follow the coordinates.
Fractional positions:
Ca: 0.2250 0.7250 0.5000  0.02
Mn: 0.8252 0.3252 0.5000  1.95
Mn: 0.9530 0.9530 0.0000  -1.72
Sc: 0.4969 0.4969 0.0000  -0.03